Entry 1:
DFT (PBE) results for a geometry-optimized Te5S12F3 structure.

```
Te5S12F3
1.0
-7.7762 7.7762 7.7762
7.7762 -7.7762 7.7762
7.7762 7.7762 -7.7762
Te S F
20 48 12
Direct
0.0000 0.0000 0.0000
0.0000 0.0000 0.5000
0.0000 0.5000 0.0000
0.0000 0.5000 0.5000
0.1250 0.7500 0.8750
0.1250 0.8750 0.2500
0.2500 0.1250 0.8750
0.2500 0.6250 0.3750
0.3750 0.2500 0.6250
0.3750 0.6250 0.7500
0.5000 0.0000 0.0000
0.5000 0.0000 0.5000
0.5000 0.5000 0.0000
0.5000 0.5000 0.5000
0.6250 0.3750 0.2500
0.6250 0.7500 0.3750
0.7500 0.3750 0.6250
0.7500 0.8750 0.1250
0.8750 0.1250 0.7500
0.8750 0.2500 0.1250
0.0442 0.2303 0.1151
0.0442 0.3140 0.9291
0.0709 0.6151 0.3849
0.0709 0.9558 0.6860
0.1151 0.0442 0.2303
0.1151 0.5709 0.8849
0.1151 0.7303 0.6860
0.1151 0.8849 0.4291
0.1860 0.2303 0.6151
0.1860 0.4558 0.5709
0.2303 0.1151 0.0442
0.2303 0.6151 0.1860
0.2697 0.3140 0.8849
0.2697 0.4558 0.3849
0.3140 0.8849 0.2697
0.3140 0.9291 0.0442
0.3849 0.0709 0.6151
0.3849 0.2697 0.4558
0.3849 0.6151 0.9291
0.3849 0.8140 0.7697
0.4291 0.1151 0.8849
0.4291 0.8140 0.5442
0.4558 0.3849 0.2697
0.4558 0.5709 0.1860
0.5442 0.4291 0.8140
0.5442 0.6151 0.7303
0.5709 0.1860 0.4558
0.5709 0.8849 0.1151
0.6151 0.1860 0.2303
0.6151 0.3849 0.0709
0.6151 0.7303 0.5442
0.6151 0.9291 0.3849
0.6860 0.0709 0.9558
0.6860 0.1151 0.7303
0.7303 0.5442 0.6151
0.7303 0.6860 0.1151
0.7697 0.3849 0.8140
0.7697 0.8849 0.9558
0.8140 0.5442 0.4291
0.8140 0.7697 0.3849
0.8849 0.1151 0.5709
0.8849 0.2697 0.3140
0.8849 0.4291 0.1151
0.8849 0.9558 0.7697
0.9291 0.0442 0.3140
0.9291 0.3849 0.6151
0.9558 0.6860 0.0709
0.9558 0.7697 0.8849
0.1250 0.2500 0.3750
0.1250 0.3750 0.7500
0.2500 0.3750 0.1250
0.2500 0.8750 0.6250
0.3750 0.1250 0.2500
0.3750 0.7500 0.1250
0.6250 0.2500 0.8750
0.6250 0.8750 0.7500
0.7500 0.1250 0.3750
0.7500 0.6250 0.8750
0.8750 0.6250 0.2500
0.8750 0.7500 0.6250
```

Output
The space group is Ia-3d. As for the crystal system: cubic. The calculation puts the formation energy from raw total energies at 309 meV per atom. The density of states at the Fermi level comes out at 0.836 states/eV per atom. The density is 3.8 g cm⁻³. The total energy is -258.688 eV per cell.

=====

Entry 2:
DFT (PBE) results for a geometry-optimized TeS4F structure.

```
TeS4F
1.0
5.0106 0.0000 0.0000
-1.7106 5.0711 0.0000
-1.2687 -1.3342 6.1220
Te S F
1 4 1
Direct
0.0000 0.0000 0.0000
0.3271 0.1463 0.7186
0.4923 0.8567 0.7065
0.5068 0.2769 0.2855
0.6468 0.9696 0.2758
0.9963 0.3675 0.0063
```

Output
The space group is P1. As for the crystal system: triclinic. The calculation puts the formation energy from raw total energies at -243 meV per atom. The density of states at the Fermi level comes out at 0.389 states/eV per atom. The density is 2.9 g cm⁻³. The total energy is -22.980 eV per cell.

=====

Entry 3:
DFT (PBE) results for a geometry-optimized TeSF2 structure.

```
TeSF2
1.0
1.5569 0.8989 9.7906
-1.5569 0.8989 9.7906
0.0000 -1.7978 9.7906
Te S F
1 1 2
Direct
0.0000 0.0000 0.0000
0.5000 0.5000 0.5000
0.0679 0.0679 0.0679
0.9321 0.9321 0.9321
```

Output
The space group is R-3m. As for the crystal system: trigonal. The calculation puts the formation energy from raw total energies at -509 meV per atom. The density of states at the Fermi level comes out at 0.576 states/eV per atom. The density is 4.0 g cm⁻³. The total energy is -13.048 eV per cell.

=====

Entry 4:
DFT (PBE) results for a geometry-optimized ZnTeS2F structure.

```
ZnTeS2F
1.0
5.0288 0.0000 0.0000
0.0000 5.0288 0.0000
0.0000 0.0000 4.1390
Zn Te S F
1 1 2 1
Direct
0.0000 0.0000 0.0000
0.5000 0.5000 0.0000
0.0000 0.5000 0.5000
0.5000 0.0000 0.5000
0.5000 0.5000 0.5000
```

Output
The space group is P4/mmm. As for the crystal system: tetragonal. The calculation puts the formation energy from raw total energies at 492 meV per atom. The density of states at the Fermi level comes out at 0.853 states/eV per atom. The density is 4.4 g cm⁻³. The total energy is -12.080 eV per cell.

=====

Entry 5:
DFT (PBE) results for a geometry-optimized ThSF structure.

```
ThSF
1.0
-1.7699 1.7699 4.3927
1.7699 -1.7699 4.3927
1.7699 1.7699 -4.3927
Th S F
1 1 1
Direct
0.0000 0.0000 0.0000
0.3331 0.3331 0.0000
0.6334 0.6334 0.0000
```

Output
The space group is I4mm. As for the crystal system: tetragonal. The calculation puts the formation energy from raw total energies at -2388 meV per atom. The density of states at the Fermi level comes out at 0.402 states/eV per atom. The density is 8.5 g cm⁻³. The total energy is -20.583 eV per cell.

=====

Entry 6:
DFT (PBE) results for a geometry-optimized ThSF structure.

```
ThSF
1.0
0.0000 3.1844 3.1844
3.1844 0.0000 3.1844
3.1844 3.1844 0.0000
Th S F
1 1 1
Direct
0.0000 0.0000 0.0000
0.2500 0.2500 0.2500
0.7500 0.7500 0.7500
```

Output
The space group is F-43m. As for the crystal system: cubic. The calculation puts the formation energy from raw total energies at -2408 meV per atom. The density of states at the Fermi level comes out at 1.286 states/eV per atom. The density is 7.3 g cm⁻³. The total energy is -20.644 eV per cell.

=====

Please write out number 2 again, unchanged.
DFT (PBE) results for a geometry-optimized TeS4F structure.

```
TeS4F
1.0
5.0106 0.0000 0.0000
-1.7106 5.0711 0.0000
-1.2687 -1.3342 6.1220
Te S F
1 4 1
Direct
0.0000 0.0000 0.0000
0.3271 0.1463 0.7186
0.4923 0.8567 0.7065
0.5068 0.2769 0.2855
0.6468 0.9696 0.2758
0.9963 0.3675 0.0063
```

Output
The space group is P1. As for the crystal system: triclinic. The calculation puts the formation energy from raw total energies at -243 meV per atom. The density of states at the Fermi level comes out at 0.389 states/eV per atom. The density is 2.9 g cm⁻³. The total energy is -22.980 eV per cell.